## 1
The following is a DFT calculation (PBE) of a relaxed RbCdIO2 crystal.

a b c (Å): 4.702 4.702 5.991
angles (deg): 90.00 90.00 90.00
Element x y z (fractional)
1 Rb 0.000 0.000 0.000
2 Cd 0.500 0.500 0.500
3 I 0.500 0.500 0.000
4 O 0.000 0.500 0.500
5 O 0.500 0.000 0.500

* space group: P4/mmm
* crystal system: tetragonal

***

## 2
The following is a DFT calculation (PBE) of a relaxed RbCdIO2 crystal.

a b c (Å): 4.864 4.864 7.465
angles (deg): 90.00 90.00 90.00
Element x y z (fractional)
1 Rb 0.000 0.000 0.000
2 Cd 0.500 0.500 0.500
3 I 0.000 0.000 0.500
4 O 0.000 0.500 0.000
5 O 0.500 0.000 0.000

* space group: P4/mmm
* crystal system: tetragonal

***

1 ends up most stable, edging out the next structure by 69.2 kJ/mol of atoms.

***

## 1
The following is a DFT calculation (PBE) of a relaxed CdRuI2O crystal.

a b c (Å): 5.643 5.643 3.773
angles (deg): 90.00 90.00 90.00
Element x y z (fractional)
1 Cd 0.000 0.000 0.000
2 Ru 0.500 0.500 0.500
3 I 0.000 0.500 0.500
4 I 0.500 0.000 0.500
5 O 0.500 0.500 0.000

* space group: P4/mmm
* crystal system: tetragonal

***

## 2
The following is a DFT calculation (PBE) of a relaxed CdRuI2O crystal.

a b c (Å): 5.926 5.926 4.043
angles (deg): 90.00 90.00 90.00
Element x y z (fractional)
1 Cd 0.000 0.000 0.000
2 Ru 0.500 0.500 0.500
3 I 0.000 0.500 0.000
4 I 0.500 0.000 0.000
5 O 0.000 0.000 0.500

* space group: P4/mmm
* crystal system: tetragonal

***

1 ends up most stable, edging out the next structure by 86.6 kJ/mol of atoms.

***

## 1
The following is a DFT calculation (PBE) of a relaxed ScCdI2O crystal.

a b c (Å): 6.004 6.004 3.906
angles (deg): 90.00 90.00 90.00
Element x y z (fractional)
1 Sc 0.000 0.000 0.000
2 Cd 0.500 0.500 0.500
3 I 0.000 0.500 0.000
4 I 0.500 0.000 0.000
5 O 0.000 0.000 0.500

* space group: P4/mmm
* crystal system: tetragonal

***

## 2
The following is a DFT calculation (PBE) of a relaxed ScCdI2O crystal.

a b c (Å): 5.944 5.944 4.035
angles (deg): 90.00 90.00 90.00
Element x y z (fractional)
1 Sc 0.000 0.000 0.000
2 Cd 0.500 0.500 0.500
3 I 0.000 0.500 0.500
4 I 0.500 0.000 0.500
5 O 0.500 0.500 0.000

* space group: P4/mmm
* crystal system: tetragonal

***

1 ends up most stable, edging out the next structure by 92.5 kJ/mol of atoms.